(1)
# Cs2NdGe2O6 (GGA-PBE, optimized geometry)
data_Cs2NdGe2O6
_symmetry_space_group_name_H-M 'P 1'
_symmetry_Int_Tables_number 1
_cell_length_a 7.2383
_cell_length_b 7.2383
_cell_length_c 7.2383
_cell_angle_alpha 51.65
_cell_angle_beta 51.65
_cell_angle_gamma 51.65
loop_
_symmetry_equiv_pos_as_xyz
'x,y,z'
loop_
_atom_site_label
_atom_site_type_symbol
_atom_site_fract_x
_atom_site_fract_y
_atom_site_fract_z
Cs1 Cs 0.2205 0.2205 0.2205
Cs2 Cs 0.7795 0.7795 0.7795
Nd1 Nd 0.0000 0.0000 0.0000
Ge1 Ge 0.4276 0.4276 0.4276
Ge2 Ge 0.5724 0.5724 0.5724
O1 O 0.2503 0.2503 0.7212
O2 O 0.2503 0.7212 0.2503
O3 O 0.2788 0.7497 0.7497
O4 O 0.7212 0.2503 0.2503
O5 O 0.7497 0.2788 0.7497
O6 O 0.7497 0.7497 0.2788
# E_form (uncorrected) in meV per atom: -1984
# Total magnetization in μB per formula unit: 0.90
# E in eV per cell: -67.3

(2)
# CsNdGeO4 (GGA-PBE, optimized geometry)
data_CsNdGeO4
_symmetry_space_group_name_H-M 'P 1'
_symmetry_Int_Tables_number 1
_cell_length_a 5.9646
_cell_length_b 6.0486
_cell_length_c 8.1529
_cell_angle_alpha 90.00
_cell_angle_beta 107.68
_cell_angle_gamma 90.00
loop_
_symmetry_equiv_pos_as_xyz
'x,y,z'
loop_
_atom_site_label
_atom_site_type_symbol
_atom_site_fract_x
_atom_site_fract_y
_atom_site_fract_z
Cs1 Cs 0.1939 0.2500 0.4296
Cs2 Cs 0.8061 0.7500 0.5704
Nd1 Nd 0.2888 0.2500 0.9590
Nd2 Nd 0.7112 0.7500 0.0410
Ge1 Ge 0.2500 0.7500 0.1534
Ge2 Ge 0.7500 0.2500 0.8466
O1 O 0.0503 0.7500 0.9411
O2 O 0.0670 0.7500 0.2878
O3 O 0.4524 0.5244 0.1699
O4 O 0.4524 0.9756 0.1699
O5 O 0.5476 0.0244 0.8301
O6 O 0.5476 0.4756 0.8301
O7 O 0.9330 0.2500 0.7122
O8 O 0.9497 0.2500 0.0589
# E_form (uncorrected) in meV per atom: -2337
# Total magnetization in μB per formula unit: 0.00
# E in eV per cell: -92.9

(3)
# CsNdGeS4 (GGA-PBE, optimized geometry)
data_CsNdGeS4
_symmetry_space_group_name_H-M 'P 1'
_symmetry_Int_Tables_number 1
_cell_length_a 6.6510
_cell_length_b 6.8354
_cell_length_c 9.5647
_cell_angle_alpha 90.00
_cell_angle_beta 107.90
_cell_angle_gamma 90.00
loop_
_symmetry_equiv_pos_as_xyz
'x,y,z'
loop_
_atom_site_label
_atom_site_type_symbol
_atom_site_fract_x
_atom_site_fract_y
_atom_site_fract_z
Cs1 Cs 0.2317 0.2500 0.4363
Cs2 Cs 0.7683 0.7500 0.5637
Nd1 Nd 0.2725 0.2500 0.9522
Nd2 Nd 0.7275 0.7500 0.0478
Ge1 Ge 0.2804 0.7500 0.1657
Ge2 Ge 0.7196 0.2500 0.8343
S1 S 0.0783 0.7500 0.9326
S2 S 0.0827 0.7500 0.3134
S3 S 0.4955 0.5033 0.8009
S4 S 0.4955 0.9967 0.8009
S5 S 0.5045 0.0033 0.1991
S6 S 0.5045 0.4967 0.1991
S7 S 0.9173 0.2500 0.6866
S8 S 0.9217 0.2500 0.0674
# E_form (uncorrected) in meV per atom: -1279
# Total magnetization in μB per formula unit: 0.00
# E in eV per cell: -71.4

(4)
# CsNdGeSe3 (GGA-PBE, optimized geometry)
data_CsNdGeSe3
_symmetry_space_group_name_H-M 'P 1'
_symmetry_Int_Tables_number 1
_cell_length_a 9.3032
_cell_length_b 4.1876
_cell_length_c 11.7642
_cell_angle_alpha 90.00
_cell_angle_beta 110.76
_cell_angle_gamma 90.00
loop_
_symmetry_equiv_pos_as_xyz
'x,y,z'
loop_
_atom_site_label
_atom_site_type_symbol
_atom_site_fract_x
_atom_site_fract_y
_atom_site_fract_z
Cs1 Cs 0.2426 0.2500 0.2842
Cs2 Cs 0.7574 0.7500 0.7158
Nd1 Nd 0.3585 0.7500 0.8448
Nd2 Nd 0.6415 0.2500 0.1552
Ge1 Ge 0.1251 0.2500 0.5634
Ge2 Ge 0.8749 0.7500 0.4366
Se1 Se 0.1108 0.2500 0.7701
Se2 Se 0.3137 0.7500 0.5796
Se3 Se 0.4059 0.7500 0.1054
Se4 Se 0.5941 0.2500 0.8946
Se5 Se 0.6863 0.2500 0.4204
Se6 Se 0.8892 0.7500 0.2299
# E_form (uncorrected) in meV per atom: -1244
# Total magnetization in μB per formula unit: 0.00
# E in eV per cell: -56.3

(5)
# Cs2NdGe2Se6 (GGA-PBE, optimized geometry)
data_Cs2NdGe2Se6
_symmetry_space_group_name_H-M 'P 1'
_symmetry_Int_Tables_number 1
_cell_length_a 7.7088
_cell_length_b 7.7088
_cell_length_c 9.3285
_cell_angle_alpha 114.10
_cell_angle_beta 114.10
_cell_angle_gamma 60.02
loop_
_symmetry_equiv_pos_as_xyz
'x,y,z'
loop_
_atom_site_label
_atom_site_type_symbol
_atom_site_fract_x
_atom_site_fract_y
_atom_site_fract_z
Cs1 Cs 0.2188 0.2188 0.1599
Cs2 Cs 0.7812 0.7812 0.8401
Nd1 Nd 0.0000 0.0000 0.5000
Ge1 Ge 0.3987 0.3987 0.6903
Ge2 Ge 0.6013 0.6013 0.3097
Se1 Se 0.2377 0.7538 0.2513
Se2 Se 0.2432 0.2432 0.7430
Se3 Se 0.2462 0.7623 0.7487
Se4 Se 0.7538 0.2377 0.2513
Se5 Se 0.7568 0.7568 0.2570
Se6 Se 0.7623 0.2462 0.7487
# E_form (uncorrected) in meV per atom: -829
# Total magnetization in μB per formula unit: 0.00
# E in eV per cell: -45.7

(6)
# CsNdGeSe4 (GGA-PBE, optimized geometry)
data_CsNdGeSe4
_symmetry_space_group_name_H-M 'P 1'
_symmetry_Int_Tables_number 1
_cell_length_a 6.8936
_cell_length_b 7.1399
_cell_length_c 9.9294
_cell_angle_alpha 90.00
_cell_angle_beta 108.25
_cell_angle_gamma 90.00
loop_
_symmetry_equiv_pos_as_xyz
'x,y,z'
loop_
_atom_site_label
_atom_site_type_symbol
_atom_site_fract_x
_atom_site_fract_y
_atom_site_fract_z
Cs1 Cs 0.2427 0.2500 0.4386
Cs2 Cs 0.7573 0.7500 0.5614
Nd1 Nd 0.2708 0.2500 0.9510
Nd2 Nd 0.7292 0.7500 0.0490
Ge1 Ge 0.2844 0.7500 0.1676
Ge2 Ge 0.7156 0.2500 0.8324
Se1 Se 0.0760 0.7500 0.9273
Se2 Se 0.0834 0.7500 0.3208
Se3 Se 0.4850 0.5089 0.7971
Se4 Se 0.4850 0.9911 0.7971
Se5 Se 0.5150 0.0089 0.2029
Se6 Se 0.5150 0.4911 0.2029
Se7 Se 0.9166 0.2500 0.6792
Se8 Se 0.9240 0.2500 0.0727
# E_form (uncorrected) in meV per atom: -1168
# Total magnetization in μB per formula unit: 0.00
# E in eV per cell: -64.7

> Look up the E of the second one.

-92.9 eV per cell